Entry 1:
The following is a DFT calculation (GGA-PBE) of a geometry-optimized CrAgSN2 structure.

## Properties
E_form (uncorrected) in meV per atom: 479
Calculated total energy in eV/atom: -6.1713
Energy above the most stable polymorph in this dataset in eV/atom: 0.0000
Magnetic moment in μB/f.u.: 0.2

Cell: 3.642 3.642 5.163 Å, 90.00 90.00 90.00°
Space group P4/mmm (No. 123)
Asymmetric unit:
Cr 0.000 0.000 0.000 [1 per cell]
Ag 0.500 0.500 0.500 [1 per cell]
S 0.000 0.000 0.500 [1 per cell]
N 0.000 0.500 0.000 [2 per cell]

---

Entry 2:
The following is a DFT calculation (GGA-PBE) of a geometry-optimized CaSi2Ru structure.

## Properties
E_form (uncorrected) in meV per atom: -452
Calculated total energy in eV/atom: -5.9827
Magnetic moment in μB/f.u.: 0.0

Cell: 4.0956 4.0956 16.0428 Å, 90.00 90.00 120.00°
Space group R3m (No. 160, hexagonal axes)
Asymmetric unit:
Ca 0.0000 0.0000 0.0000 [3 per cell]
Si 0.0000 0.0000 0.5467 [3 per cell]
Si 0.0000 0.0000 0.8025 [3 per cell]
Ru 0.0000 0.0000 0.1851 [3 per cell]

---

Entry 3:
The following is a DFT calculation (GGA-PBE) of a geometry-optimized PH3S4 structure.

## Properties
Calculated total energy in eV/atom: -4.1536
Energy above the most stable polymorph in this dataset in eV/atom: 0.0033
Magnetic moment in μB/f.u.: 0.0

Cell: 10.040 5.946 6.644 Å, 90.00 90.00 90.00°
Space group Pmn2_1 (No. 31)
Asymmetric unit:
P 0.000 0.183 0.000 [2 per cell]
H 0.000 0.125 0.379 [2 per cell]
H 0.147 0.526 0.890 [4 per cell]
S 0.000 0.331 0.292 [2 per cell]
S 0.000 0.856 0.997 [2 per cell]
S 0.171 0.304 0.853 [4 per cell]

---

Entry 4:
The following is a DFT calculation (GGA-PBE) of a geometry-optimized Sm2EuS4 structure.

## Properties
E_form (uncorrected) in meV per atom: -2093
Calculated total energy in eV/atom: -7.2679
Magnetic moment in μB/f.u.: 7.0

Cell: 8.567 8.567 8.536 Å, 90.00 90.00 90.00°
Space group I-42d (No. 122)
Asymmetric unit:
Sm 0.127 0.750 0.125 [8 per cell]
Eu 0.000 0.000 0.500 [4 per cell]
S 0.075 0.674 0.443 [16 per cell]

---

Entry 5:
The following is a DFT calculation (GGA-PBE) of a geometry-optimized PbS6Br2 structure.

## Properties
E_form (uncorrected) in meV per atom: -220
Calculated total energy in eV/atom: -3.7552
Magnetic moment in μB/f.u.: 0.0

Cell: 4.467 8.253 8.268 Å, 108.08 90.44 90.47°
Space group P-1 (No. 2)
Asymmetric unit:
Pb 0.000 0.000 0.000 [1 per cell]
S 0.079 0.277 0.524 [2 per cell]
S 0.079 0.524 0.278 [2 per cell]
S 0.146 0.684 0.684 [2 per cell]
Br 0.500 0.153 0.848 [2 per cell]

---

Entry 6:
The following is a DFT calculation (GGA-PBE) of a geometry-optimized AgBiCl3 structure.

## Properties
E_form (uncorrected) in meV per atom: -565
Calculated total energy in eV/atom: -3.0198
Energy above the most stable polymorph in this dataset in eV/atom: 0.0000
Magnetic moment in μB/f.u.: 0.0

Cell: 6.470 7.673 13.874 Å, 90.00 113.58 90.00°
Space group P2_1/c (No. 14)
Asymmetric unit:
Ag 0.217 0.159 0.412 [4 per cell]
Bi 0.260 0.629 0.202 [4 per cell]
Cl 0.075 0.554 0.744 [4 per cell]
Cl 0.302 0.162 0.609 [4 per cell]
Cl 0.421 0.691 0.586 [4 per cell]

---

Entry 7:
The following is a DFT calculation (GGA-PBE) of a geometry-optimized LaPt2C structure.

## Properties
Energy relative to the elements in eV per atom: -0.187
Calculated total energy in eV/atom: -6.7455
Magnetic moment in μB/f.u.: 0.0

Cell: 5.094 5.094 12.820 Å, 90.00 90.00 90.00°
Space group I-42d (No. 122)
Asymmetric unit:
La 0.000 0.000 0.000 [4 per cell]
Pt 0.080 0.250 0.625 [8 per cell]
C 0.000 0.000 0.500 [4 per cell]

---

Entry 8:
The following is a DFT calculation (GGA-PBE) of a geometry-optimized PaTlGa structure.

## Properties
Energy relative to the elements in eV per atom: -0.028
Calculated total energy in eV/atom: -4.9912
Energy above the most stable polymorph in this dataset in eV/atom: 0.0000
Magnetic moment in μB/f.u.: 0.0

Cell: 4.982 14.191 3.974 Å, 90.00 90.00 90.00°
Space group Cmcm (No. 63)
Asymmetric unit:
Pa 0.000 0.067 0.250 [4 per cell]
Tl 0.000 0.265 0.750 [4 per cell]
Ga 0.000 0.434 0.250 [4 per cell]

---

Entry 9:
The following is a DFT calculation (GGA-PBE) of a geometry-optimized Tb3Er2Mg8 structure.

## Properties
Energy relative to the elements in eV per atom: 0.126
Calculated total energy in eV/atom: -2.6254
Magnetic moment in μB/f.u.: 0.0

Cell: 5.8281 5.8281 37.0076 Å, 90.00 90.00 120.00°
Space group R-3m (No. 166, hexagonal axes)
Asymmetric unit:
Tb 0.0000 0.0000 0.0000 [3 per cell]
Tb 0.0000 0.0000 0.1833 [6 per cell]
Er 0.0000 0.0000 0.3597 [6 per cell]
Mg 0.0000 0.0000 0.2751 [6 per cell]
Mg 0.0006 0.5003 0.7693 [18 per cell]

---

Entry 10:
The following is a DFT calculation (GGA-PBE) of a geometry-optimized MgAl3P structure.

## Properties
Energy relative to the elements in eV per atom: 0.377
Calculated total energy in eV/atom: -3.2691
Energy above the most stable polymorph in this dataset in eV/atom: 0.0000
Magnetic moment in μB/f.u.: 0.0

Cell: 4.773 4.773 4.773 Å, 90.00 90.00 90.00°
Space group Pm-3m (No. 221)
Asymmetric unit:
Mg 0.000 0.000 0.000 [1 per cell]
Al 0.000 0.500 0.500 [3 per cell]
P 0.500 0.500 0.500 [1 per cell]

---

Entry 11:
The following is a DFT calculation (GGA-PBE) of a geometry-optimized Nb3AsC structure.

## Properties
Energy relative to the elements in eV per atom: -0.338
Calculated total energy in eV/atom: -9.1543
Magnetic moment in μB/f.u.: 0.0

Cell: 3.416 5.745 7.871 Å, 90.00 90.00 90.00°
Space group Pmmn (No. 59, origin choice 2)
Asymmetric unit:
Nb 0.250 0.002 0.148 [4 per cell]
Nb 0.250 0.750 0.606 [2 per cell]
As 0.250 0.250 0.655 [2 per cell]
C 0.250 0.750 0.908 [2 per cell]

---

Entry 12:
The following is a DFT calculation (GGA-PBE) of a geometry-optimized YTh4Sc6 structure.

## Properties
Energy relative to the elements in eV per atom: 0.461
Calculated total energy in eV/atom: -6.2786
Magnetic moment in μB/f.u.: 0.0

Cell: 8.6244 8.6244 5.1067 Å, 90.00 90.00 120.00°
Space group P-6m2 (No. 187)
Asymmetric unit:
Y 0.0000 0.0000 0.0000 [1 per cell]
Th 0.3333 0.6667 0.0000 [1 per cell]
Th 0.3928 0.1964 0.5000 [3 per cell]
Sc 0.2124 0.4248 0.5000 [3 per cell]
Sc 0.5386 0.0771 0.0000 [3 per cell]

---

- Which of these has the highest calculated total energy?
  Tb3Er2Mg8

---

- Which of these has the lowest calculated total energy?
  Nb3AsC

---

- Look up the calculated total energy of the twelfth one.
  -6.2786 eV/atom